# CeCd2In

A geometry-optimized CeCd2In structure (PBE, Alexandria via LeMat-Bulk).

size of the total moment = 0.97 μB/f.u.
DFT formation energy = -0.9 eV/f.u.

Cell: 4.633 4.633 4.809 Å, 90.00 90.00 90.00°
Element x y z (fractional)
Ce 0.000 0.000 0.000
Cd 0.000 0.500 0.500
Cd 0.500 0.000 0.500
In 0.500 0.500 0.000